[1]
# CsPbIO2, relaxed, DFT PBE
data_CsPbIO2
_symmetry_space_group_name_H-M 'P 4/m m m'
_symmetry_Int_Tables_number 123
_symmetry_space_group_name_Hall '-P 4 2'
_cell_length_a 4.7310
_cell_length_b 4.7310
_cell_length_c 6.1411
_cell_angle_alpha 90.00
_cell_angle_beta 90.00
_cell_angle_gamma 90.00
loop_
_atom_site_label
_atom_site_fract_x
_atom_site_fract_y
_atom_site_fract_z
Cs1 0.0000 0.0000 0.0000
Pb1 0.5000 0.5000 0.5000
I1 0.5000 0.5000 0.0000
O1 0.0000 0.5000 0.5000
# Energy relative to the lowest polymorph listed for this composition, eV/atom: 0.000
# Formation energy from raw total energies, eV/atom: -0.509
# V, Å³/f.u.: 137.46
# D(E_F), states/eV per atom: 1.01



[2]
# Tb3Fe5Se12, relaxed, DFT PBE
data_Tb3Fe5Se12
_symmetry_space_group_name_H-M 'I a -3 d'
_symmetry_Int_Tables_number 230
_symmetry_space_group_name_Hall '-I 4bd 2c 3'
_cell_length_a 15.4206
_cell_length_b 15.4206
_cell_length_c 15.4206
_cell_angle_alpha 90.00
_cell_angle_beta 90.00
_cell_angle_gamma 90.00
loop_
_atom_site_label
_atom_site_fract_x
_atom_site_fract_y
_atom_site_fract_z
Tb1 0.0000 0.2500 0.1250
Fe1 0.0000 0.0000 0.0000
Fe2 0.0000 0.2500 0.3750
Se1 0.0283 0.0563 0.6456
# Formation energy from raw total energies, eV/atom: -0.720
# V, Å³/f.u.: 458.37
# D(E_F), states/eV per atom: 0.99



[3]
# CdGa2Pt9, relaxed, DFT PBE
data_CdGa2Pt9
_symmetry_space_group_name_H-M 'P 4/m m m'
_symmetry_Int_Tables_number 123
_symmetry_space_group_name_Hall '-P 4 2'
_cell_length_a 3.9789
_cell_length_b 3.9789
_cell_length_c 11.9290
_cell_angle_alpha 90.00
_cell_angle_beta 90.00
_cell_angle_gamma 90.00
loop_
_atom_site_label
_atom_site_fract_x
_atom_site_fract_y
_atom_site_fract_z
Cd1 0.0000 0.0000 0.0000
Ga1 0.0000 0.0000 0.3340
Pt1 0.0000 0.5000 0.1754
Pt2 0.0000 0.5000 0.5000
Pt3 0.5000 0.5000 0.0000
Pt4 0.5000 0.5000 0.3379
# Calculated formation energy, kJ/mol of formula units: -413
# V, Å³/f.u.: 188.85
# D(E_F), states/eV per atom: 0.85



[4]
# Ba2PaCdSe6, relaxed, DFT PBE
data_Ba2PaCdSe6
_symmetry_space_group_name_H-M 'P 1 21/c 1'
_symmetry_Int_Tables_number 14
_cell_length_a 7.4938
_cell_length_b 7.9332
_cell_length_c 12.6452
_cell_angle_alpha 90.00
_cell_angle_beta 123.41
_cell_angle_gamma 90.00
loop_
_symmetry_equiv_pos_as_xyz
'x,y,z'
'-x,-y,-z'
'-x,y+1/2,-z+1/2'
'x,-y+1/2,z+1/2'
loop_
_atom_site_label
_atom_site_fract_x
_atom_site_fract_y
_atom_site_fract_z
Ba1 0.2125 0.0815 0.2432
Pa1 0.5000 0.0000 0.0000
Cd1 0.0000 0.0000 0.5000
Se1 0.1577 0.1936 0.9561
Se2 0.2659 0.7074 0.9542
Se3 0.3458 0.0141 0.7467
# Formation energy from raw total energies, eV/atom: -1.358
# V, Å³/f.u.: 313.78
# D(E_F), states/eV per atom: 1.18



[5]
# Sm2Y4ThSc, relaxed, DFT PBE
data_Sm2Y4ThSc
_symmetry_space_group_name_H-M 'P 4/m m m'
_symmetry_Int_Tables_number 123
_symmetry_space_group_name_Hall '-P 4 2'
_cell_length_a 5.8577
_cell_length_b 5.8577
_cell_length_c 7.4231
_cell_angle_alpha 90.00
_cell_angle_beta 90.00
_cell_angle_gamma 90.00
loop_
_atom_site_label
_atom_site_fract_x
_atom_site_fract_y
_atom_site_fract_z
Sm1 0.0000 0.0000 0.0000
Sm2 0.5000 0.5000 0.0000
Y1 0.0000 0.5000 0.2571
Th1 0.0000 0.0000 0.5000
Sc1 0.5000 0.5000 0.5000
# Calculated formation energy, kJ/mol of formula units: 105
# V, Å³/f.u.: 254.71
# D(E_F), states/eV per atom: 2.03



[6]
# LiRh2Br, relaxed, DFT PBE
data_LiRh2Br
_symmetry_space_group_name_H-M 'C m m m'
_symmetry_Int_Tables_number 65
_symmetry_space_group_name_Hall '-C 2 2'
_cell_length_a 2.8919
_cell_length_b 5.0888
_cell_length_c 8.7433
_cell_angle_alpha 90.00
_cell_angle_beta 90.00
_cell_angle_gamma 90.00
loop_
_atom_site_label
_atom_site_fract_x
_atom_site_fract_y
_atom_site_fract_z
Li1 0.0000 0.0000 0.0000
Rh1 0.0000 0.5000 0.2471
Br1 0.0000 0.0000 0.5000
# Energy relative to the lowest polymorph listed for this composition, eV/atom: 0.486
# Formation energy from raw total energies, eV/atom: 0.471
# V, Å³/f.u.: 64.33
# D(E_F), states/eV per atom: 1.40



[7]
# ZrNi4Pd, relaxed, DFT PBE
data_ZrNi4Pd
_symmetry_space_group_name_H-M 'F -4 3 m'
_symmetry_Int_Tables_number 216
_symmetry_space_group_name_Hall 'F -4 2 3'
_cell_length_a 6.8053
_cell_length_b 6.8053
_cell_length_c 6.8053
_cell_angle_alpha 90.00
_cell_angle_beta 90.00
_cell_angle_gamma 90.00
loop_
_atom_site_label
_atom_site_fract_x
_atom_site_fract_y
_atom_site_fract_z
Zr1 0.0000 0.0000 0.0000
Ni1 0.1245 0.1245 0.3755
Pd1 0.2500 0.2500 0.7500
# Calculated formation energy, kJ/mol of formula units: -248
# V, Å³/f.u.: 78.79
# D(E_F), states/eV per atom: 1.29



[8]
# Ho7Ag2Bi2, relaxed, DFT PBE
data_Ho7Ag2Bi2
_symmetry_space_group_name_H-M 'C m m m'
_symmetry_Int_Tables_number 65
_symmetry_space_group_name_Hall '-C 2 2'
_cell_length_a 8.9653
_cell_length_b 10.9879
_cell_length_c 7.0069
_cell_angle_alpha 90.00
_cell_angle_beta 90.00
_cell_angle_gamma 90.00
loop_
_atom_site_label
_atom_site_fract_x
_atom_site_fract_y
_atom_site_fract_z
Ho1 0.0000 0.0000 0.0000
Ho2 0.0000 0.5000 0.2419
Ho3 0.2500 0.2500 0.2550
Ag1 0.0000 0.2795 0.0000
Bi1 0.1942 0.0000 0.5000
# Calculated formation energy, kJ/mol of formula units: -114
# V, Å³/f.u.: 345.13
# D(E_F), states/eV per atom: 0.94



[9]
# PaFe2As, relaxed, DFT PBE
data_PaFe2As
_symmetry_space_group_name_H-M 'P 4/m m m'
_symmetry_Int_Tables_number 123
_symmetry_space_group_name_Hall '-P 4 2'
_cell_length_a 4.1304
_cell_length_b 4.1304
_cell_length_c 3.5981
_cell_angle_alpha 90.00
_cell_angle_beta 90.00
_cell_angle_gamma 90.00
loop_
_atom_site_label
_atom_site_fract_x
_atom_site_fract_y
_atom_site_fract_z
Pa1 0.0000 0.0000 0.0000
Fe1 0.0000 0.5000 0.5000
As1 0.5000 0.5000 0.0000
# Energy relative to the lowest polymorph listed for this composition, eV/atom: 0.131
# Calculated formation energy, kJ/mol of formula units: -60
# V, Å³/f.u.: 61.39
# D(E_F), states/eV per atom: 0.96



[10]
# ZrV5Si2, relaxed, DFT PBE
data_ZrV5Si2
_symmetry_space_group_name_H-M 'I m m m'
_symmetry_Int_Tables_number 71
_symmetry_space_group_name_Hall '-I 2 2'
_cell_length_a 3.2830
_cell_length_b 7.6533
_cell_length_c 9.4870
_cell_angle_alpha 90.00
_cell_angle_beta 90.00
_cell_angle_gamma 90.00
loop_
_atom_site_label
_atom_site_fract_x
_atom_site_fract_y
_atom_site_fract_z
Zr1 0.0000 0.0000 0.0000
V1 0.0000 0.1903 0.3512
V2 0.0000 0.5000 0.0000
Si1 0.0000 0.5000 0.2683
# Formation energy from raw total energies, eV/atom: -0.388
# V, Å³/f.u.: 119.18
# D(E_F), states/eV per atom: 0.69



[11]
# La2Nd3Dy3, relaxed, DFT PBE
data_La2Nd3Dy3
_symmetry_space_group_name_H-M 'I m m m'
_symmetry_Int_Tables_number 71
_symmetry_space_group_name_Hall '-I 2 2'
_cell_length_a 5.1542
_cell_length_b 5.1712
_cell_length_c 20.5763
_cell_angle_alpha 90.00
_cell_angle_beta 90.00
_cell_angle_gamma 90.00
loop_
_atom_site_label
_atom_site_fract_x
_atom_site_fract_y
_atom_site_fract_z
La1 0.0000 0.0000 0.2501
Nd1 0.0000 0.0000 0.0000
Nd2 0.0000 0.5000 0.1224
Dy1 0.0000 0.0000 0.5000
Dy2 0.0000 0.5000 0.3773
# Energy relative to the lowest polymorph listed for this composition, eV/atom: 0.000
# Calculated formation energy, kJ/mol of formula units: 15
# V, Å³/f.u.: 274.21
# D(E_F), states/eV per atom: 1.63



[12]
# Tc3HgB, relaxed, DFT PBE
data_Tc3HgB
_symmetry_space_group_name_H-M 'P m -3 m'
_symmetry_Int_Tables_number 221
_symmetry_space_group_name_Hall '-P 4 2 3'
_cell_length_a 5.1342
_cell_length_b 5.1342
_cell_length_c 5.1342
_cell_angle_alpha 90.00
_cell_angle_beta 90.00
_cell_angle_gamma 90.00
loop_
_atom_site_label
_atom_site_fract_x
_atom_site_fract_y
_atom_site_fract_z
Tc1 0.0000 0.0000 0.5000
Hg1 0.0000 0.0000 0.0000
B1 0.5000 0.5000 0.5000
# Energy relative to the lowest polymorph listed for this composition, eV/atom: 2.966
# Calculated formation energy, kJ/mol of formula units: 1614
# V, Å³/f.u.: 135.34
# D(E_F), states/eV per atom: 0.45